A plane-wave DFT calculation with PBE-GGA was carried out for CdP2Se after structural relaxation.

The polymorph energy (0 for the lowest one) comes out at 0.573 eV per formula unit. The calculation puts the raw formation energy at 0.185 eV/atom.

The structure belongs to space group Cm (No. 8); the cell edges are 12.882, 3.205 and 4.330 Å and the angles 90.00°, 99.27° and 90.00°. The asymmetric unit holds Cd at (0.000, 0.000, 0.000), P at (0.069, 0.500, 0.528), P at (0.199, 0.000, 0.610) and Se at (0.291, 0.500, 0.018).